1.
Density functional theory data (PBE-GGA) for a relaxed structure of LaNb2O7.

a = 3.961 Å, b = 3.961 Å, c = 10.118 Å
α = 90.00°, β = 90.00°, γ = 90.00°
Atoms (fractional coordinates):
1 La 0.000 0.000 0.000
2 Nb 0.500 0.500 0.222
3 Nb 0.500 0.500 0.778
4 O 0.000 0.500 0.176
5 O 0.000 0.500 0.824
6 O 0.500 0.000 0.176
7 O 0.500 0.000 0.824
8 O 0.500 0.500 0.000
9 O 0.500 0.500 0.397
10 O 0.500 0.500 0.603

Values from the calculation:
* final energy: -84.9 eV/cell
* energy relative to the elements, uncorrected: -2509.0 meV/atom
* space group: P4/mmm, No. 123
* D(E_F): 0.64 states/eV/cell



2.
Density functional theory data (PBE-GGA) for a relaxed structure of La3Nb8O24.

a = 8.901 Å, b = 8.901 Å, c = 8.984 Å
α = 113.35°, β = 113.35°, γ = 52.88°
Atoms (fractional coordinates):
1 La 0.000 0.000 0.000
2 La 0.245 0.245 0.000
3 La 0.755 0.755 0.000
4 Nb 0.064 0.560 0.740
5 Nb 0.195 0.688 0.261
6 Nb 0.312 0.805 0.739
7 Nb 0.440 0.936 0.260
8 Nb 0.560 0.064 0.740
9 Nb 0.688 0.195 0.261
10 Nb 0.805 0.312 0.739
11 Nb 0.936 0.440 0.260
12 O 0.000 0.500 0.500
13 O 0.052 0.554 0.211
14 O 0.066 0.066 0.741
15 O 0.087 0.667 0.001
16 O 0.177 0.705 0.764
17 O 0.193 0.193 0.249
18 O 0.277 0.723 0.500
19 O 0.295 0.823 0.236
20 O 0.315 0.315 0.780
21 O 0.333 0.913 0.999
22 O 0.422 0.422 0.211
23 O 0.446 0.948 0.789
24 O 0.500 0.000 0.500
25 O 0.554 0.052 0.211
26 O 0.578 0.578 0.789
27 O 0.667 0.087 0.001
28 O 0.685 0.685 0.220
29 O 0.705 0.177 0.764
30 O 0.723 0.277 0.500
31 O 0.807 0.807 0.751
32 O 0.823 0.295 0.236
33 O 0.913 0.333 0.999
34 O 0.934 0.934 0.259
35 O 0.948 0.446 0.789

Values from the calculation:
* final energy: -312.6 eV/cell
* energy relative to the elements, uncorrected: -2806.7 meV/atom
* space group: C2/m, No. 12
* D(E_F): 3.94 states/eV/cell



3.
Density functional theory data (PBE-GGA) for a relaxed structure of La2Nb2O.

a = 9.265 Å, b = 9.265 Å, c = 9.265 Å
α = 157.39°, β = 157.39°, γ = 32.20°
Atoms (fractional coordinates):
1 La 0.088 0.088 0.000
2 La 0.912 0.912 0.000
3 Nb 0.250 0.750 0.500
4 Nb 0.750 0.250 0.500
5 O 0.500 0.500 0.000

Values from the calculation:
* final energy: -36.3 eV/cell
* polymorph energy (0 for the lowest one): 0 meV/atom
* energy relative to the elements, uncorrected: -273.8 meV/atom
* space group: I4/mmm, No. 139
* D(E_F): 5.45 states/eV/cell



4.
Density functional theory data (PBE-GGA) for a relaxed structure of LaNbO2.

a = 6.800 Å, b = 6.800 Å, c = 6.800 Å
α = 137.51°, β = 137.51°, γ = 61.65°
Atoms (fractional coordinates):
1 La 0.000 0.000 0.000
2 La 0.750 0.250 0.500
3 Nb 0.250 0.750 0.500
4 Nb 0.500 0.500 0.000
5 O 0.214 0.625 0.089
6 O 0.375 0.464 0.589
7 O 0.536 0.125 0.911
8 O 0.875 0.786 0.411

Values from the calculation:
* final energy: -64.8 eV/cell
* polymorph energy (0 for the lowest one): 330 meV/atom
* energy relative to the elements, uncorrected: -1872.7 meV/atom
* space group: I-42d, No. 122
* D(E_F): 6.78 states/eV/cell



5.
Density functional theory data (PBE-GGA) for a relaxed structure of La2NbO5.

a = 11.261 Å, b = 3.992 Å, c = 11.562 Å
α = 90.00°, β = 90.00°, γ = 90.00°
Atoms (fractional coordinates):
1 La 0.101 0.250 0.224
2 La 0.128 0.250 0.572
3 La 0.372 0.750 0.072
4 La 0.399 0.750 0.724
5 La 0.601 0.250 0.276
6 La 0.628 0.250 0.928
7 La 0.872 0.750 0.428
8 La 0.899 0.750 0.776
9 Nb 0.182 0.250 0.882
10 Nb 0.318 0.750 0.382
11 Nb 0.682 0.250 0.618
12 Nb 0.818 0.750 0.118
13 O 0.004 0.750 0.596
14 O 0.035 0.250 0.794
15 O 0.220 0.750 0.237
16 O 0.232 0.250 0.047
17 O 0.238 0.750 0.885
18 O 0.262 0.250 0.385
19 O 0.268 0.750 0.547
20 O 0.280 0.250 0.737
21 O 0.465 0.750 0.294
22 O 0.496 0.250 0.096
23 O 0.504 0.750 0.904
24 O 0.535 0.250 0.706
25 O 0.720 0.750 0.263
26 O 0.732 0.250 0.453
27 O 0.738 0.750 0.615
28 O 0.762 0.250 0.115
29 O 0.768 0.750 0.953
30 O 0.780 0.250 0.763
31 O 0.965 0.750 0.206
32 O 0.996 0.250 0.404

Values from the calculation:
* final energy: -278.0 eV/cell
* energy relative to the elements, uncorrected: -3097.1 meV/atom
* space group: Pnma, No. 62
* D(E_F): 5.15 states/eV/cell



6.
Density functional theory data (PBE-GGA) for a relaxed structure of LaNb3O.

a = 4.502 Å, b = 4.502 Å, c = 4.502 Å
α = 90.00°, β = 90.00°, γ = 90.00°
Atoms (fractional coordinates):
1 La 0.000 0.000 0.000
2 Nb 0.000 0.500 0.500
3 Nb 0.500 0.000 0.500
4 Nb 0.500 0.500 0.000
5 O 0.500 0.500 0.500

Values from the calculation:
* final energy: -41.7 eV/cell
* polymorph energy (0 for the lowest one): 0 meV/atom
* energy relative to the elements, uncorrected: -321.9 meV/atom
* space group: Pm-3m, No. 221
* D(E_F): 4.93 states/eV/cell